Computed, not measured: crystalline Ho2ScAu2 at its relaxed geometry at the PBE level of DFT.

Calculated values
* ρ: 10.67 g cm⁻³
* calculated volume: 23.94 Å³ per atom
* space group: No. 127
* ΔE_f: -691 meV/atom
* spin magnetization: 0.00 μB/cell

Unit cell a=3.7012 b=8.0423 c=8.0423 alpha=90.00 beta=90.00 gamma=90.00
Atoms (fractional coordinates):
Ho1 0.0000 0.6649 0.3351
Ho2 0.0000 0.8351 0.8351
Ho3 0.0000 0.1649 0.1649
Ho4 0.0000 0.3351 0.6649
Sc1 0.5000 0.5000 0.0000
Sc2 0.5000 0.0000 0.5000
Au1 0.5000 0.3650 0.3650
Au2 0.5000 0.8650 0.1350
Au3 0.5000 0.1350 0.8650
Au4 0.5000 0.6350 0.6350



Computed, not measured: crystalline HoScAu at its relaxed geometry at the PBE level of DFT.

Calculated values
* ρ: 9.48 g cm⁻³
* calculated volume: 23.76 Å³ per atom
* space group: No. 107
* ΔE_f: -516 meV/atom
* spin magnetization: 1.05 μB/cell

Unit cell a=3.4856 b=3.4856 c=6.3646 alpha=105.89 beta=105.89 gamma=90.00
Each line ends with the local moment (μB).
Atoms (fractional coordinates):
Sc1 0.3069 0.3069 0.6139  0.33
Au1 0.9405 0.9405 0.8810  0.01
Ho1 0.6026 0.6026 0.2052  0.38